1.
The following is a DFT calculation (PBE-GGA) of an optimized crystal structure of Ac2AlSe.

Calculated values
E_form (uncorrected): -0.95 eV per atom
Total moment: 0.0 μB per cell
N(E_F): 2.3 states/eV/cell
E_tot: -4.810 eV per atom
Symmetry: R-3m (166)
Offset from the most stable computed form: 122 meV/atom

```
data_Ac2AlSe
_symmetry_space_group_name_H-M 'P 1'
_symmetry_Int_Tables_number 1
_symmetry_space_group_name_Hall 'P 1'
_cell_length_a 4.415
_cell_length_b 4.415
_cell_length_c 8.543
_cell_angle_alpha 75.03
_cell_angle_beta 75.03
_cell_angle_gamma 60.00
loop_
_atom_site_label
_atom_site_type_symbol
_atom_site_fract_x
_atom_site_fract_y
_atom_site_fract_z
Ac1 Ac 0.247 0.247 0.260
Ac2 Ac 0.753 0.753 0.740
Al1 Al 0.000 0.000 0.000
Se1 Se 0.500 0.500 0.500
```

2.
The following is a DFT calculation (PBE-GGA) of an optimized crystal structure of Ac2Al2Se7.

Calculated values
E_form (uncorrected): -1.16 eV per atom
Total moment: 0.0 μB per cell
E_tot: -4.803 eV per atom
Symmetry: C2/m (12)

```
data_Ac2Al2Se7
_symmetry_space_group_name_H-M 'P 1'
_symmetry_Int_Tables_number 1
_symmetry_space_group_name_Hall 'P 1'
_cell_length_a 6.912
_cell_length_b 7.913
_cell_length_c 7.913
_cell_angle_alpha 110.72
_cell_angle_beta 101.85
_cell_angle_gamma 101.85
loop_
_atom_site_label
_atom_site_type_symbol
_atom_site_fract_x
_atom_site_fract_y
_atom_site_fract_z
Ac1 Ac 0.000 0.306 0.694
Ac2 Ac 0.000 0.694 0.306
Al1 Al 0.372 0.231 0.231
Al2 Al 0.628 0.769 0.769
Se1 Se 0.766 0.889 0.573
Se2 Se 0.234 0.427 0.111
Se3 Se 0.234 0.111 0.427
Se4 Se 0.766 0.573 0.889
Se5 Se 0.500 0.000 0.000
Se6 Se 0.257 0.685 0.685
Se7 Se 0.743 0.315 0.315
```

3.
The following is a DFT calculation (PBE-GGA) of an optimized crystal structure of Ac2AlSe.

Calculated values
E_form (uncorrected): -0.89 eV per atom
Total moment: 0.0 μB per cell
N(E_F): 2.9 states/eV/cell
E_tot: -4.747 eV per atom
Symmetry: P4/mmm (123)
Offset from the most stable computed form: 185 meV/atom

```
data_Ac2AlSe
_symmetry_space_group_name_H-M 'P 1'
_symmetry_Int_Tables_number 1
_symmetry_space_group_name_Hall 'P 1'
_cell_length_a 3.799
_cell_length_b 3.799
_cell_length_c 8.387
_cell_angle_alpha 90.00
_cell_angle_beta 90.00
_cell_angle_gamma 90.00
loop_
_atom_site_label
_atom_site_type_symbol
_atom_site_fract_x
_atom_site_fract_y
_atom_site_fract_z
Ac1 Ac 0.000 0.000 0.744
Ac2 Ac 0.000 0.000 0.256
Al1 Al 0.500 0.500 0.000
Se1 Se 0.500 0.500 0.500
```

4.
The following is a DFT calculation (PBE-GGA) of an optimized crystal structure of Ac2AlSe.

Calculated values
E_form (uncorrected): -1.07 eV per atom
Total moment: 0.0 μB per cell
N(E_F): 7.1 states/eV/cell
E_tot: -4.933 eV per atom
Symmetry: Cmcm (63)
Offset from the most stable computed form: 0 meV/atom

```
data_Ac2AlSe
_symmetry_space_group_name_H-M 'P 1'
_symmetry_Int_Tables_number 1
_symmetry_space_group_name_Hall 'P 1'
_cell_length_a 4.431
_cell_length_b 4.667
_cell_length_c 12.844
_cell_angle_alpha 100.47
_cell_angle_beta 90.00
_cell_angle_gamma 90.00
loop_
_atom_site_label
_atom_site_type_symbol
_atom_site_fract_x
_atom_site_fract_y
_atom_site_fract_z
Ac1 Ac 0.750 0.683 0.365
Ac2 Ac 0.250 0.317 0.635
Ac3 Ac 0.750 0.932 0.864
Ac4 Ac 0.250 0.068 0.136
Al1 Al 0.250 0.468 0.935
Al2 Al 0.750 0.532 0.065
Se1 Se 0.250 0.193 0.386
Se2 Se 0.750 0.807 0.614
```

5.
The following is a DFT calculation (PBE-GGA) of an optimized crystal structure of Ac3AlSe2.

Calculated values
E_form (uncorrected): -1.30 eV per atom
Total moment: 0.0 μB per cell
N(E_F): 1.9 states/eV/cell
E_tot: -5.139 eV per atom
Symmetry: Immm (71)

```
data_Ac3AlSe2
_symmetry_space_group_name_H-M 'P 1'
_symmetry_Int_Tables_number 1
_symmetry_space_group_name_Hall 'P 1'
_cell_length_a 4.462
_cell_length_b 6.445
_cell_length_c 8.030
_cell_angle_alpha 113.66
_cell_angle_beta 106.13
_cell_angle_gamma 90.00
loop_
_atom_site_label
_atom_site_type_symbol
_atom_site_fract_x
_atom_site_fract_y
_atom_site_fract_z
Ac1 Ac 0.330 0.330 0.659
Ac2 Ac 0.000 0.000 0.000
Ac3 Ac 0.670 0.670 0.341
Al1 Al 0.000 0.500 0.000
Se1 Se 0.666 0.166 0.332
Se2 Se 0.334 0.834 0.668
```

6.
The following is a DFT calculation (PBE-GGA) of an optimized crystal structure of Ac2Al2Se5.

Calculated values
E_form (uncorrected): -1.25 eV per atom
Total moment: 0.0 μB per cell
N(E_F): 2.8 states/eV/cell
E_tot: -4.933 eV per atom
Symmetry: C2/m (12)

```
data_Ac2Al2Se5
_symmetry_space_group_name_H-M 'P 1'
_symmetry_Int_Tables_number 1
_symmetry_space_group_name_Hall 'P 1'
_cell_length_a 5.177
_cell_length_b 7.750
_cell_length_c 7.561
_cell_angle_alpha 114.59
_cell_angle_beta 90.00
_cell_angle_gamma 109.51
loop_
_atom_site_label
_atom_site_type_symbol
_atom_site_fract_x
_atom_site_fract_y
_atom_site_fract_z
Ac1 Ac 0.389 0.778 0.709
Ac2 Ac 0.611 0.222 0.291
Al1 Al 0.157 0.315 0.891
Al2 Al 0.843 0.685 0.109
Se1 Se 0.356 0.712 0.092
Se2 Se 0.644 0.288 0.908
Se3 Se 0.153 0.306 0.553
Se4 Se 0.847 0.694 0.447
Se5 Se 0.000 0.000 0.000
```

Question: E_form (uncorrected) of number 3 (Ac2AlSe)?
Answer: -0.89 eV per atom

Question: Which of these has the lowest E_form (uncorrected)?
Answer: Ac3AlSe2